DFT (meta-GGA SCAN) results for RbBiOsRh2 at its PBEsol-relaxed geometry.

Lattice parameters (Å, degrees): 4.7377 4.7377 4.8499 90.00 90.00 90.00
Closest atoms and distances in Å follow each position.
Fractional coordinates of all 5 atoms:
Rh 0.0000 0.5000 0.0000  2 Rb 2.37
Rh 0.5000 0.0000 0.0000  2 Rb 2.37
Os 0.0000 0.0000 0.5000  2 Rb 2.42
Bi 0.5000 0.5000 0.5000  4 Os 3.35, 8 Rh 3.39
Rb 0.0000 0.0000 0.0000  4 Rh 2.37, 2 Os 2.42

Summary:
ΔE_f   2.76 eV per atom